Record 1
A geometry-optimized BaNbSb2I structure. Source: Alexandria, functional GGA-PBE.

Unit cell a=5.399 b=5.399 c=5.954 alpha=90.00 beta=90.00 gamma=90.00
Fractional positions:
Ba  0.000  0.000  0.000
Nb  0.500  0.500  0.500
Sb  0.000  0.500  0.500
Sb  0.500  0.000  0.500
I  0.500  0.500  0.000

## Properties
The density of states at the Fermi level comes out at 4.805 states/eV per cell. The mass density is 5.75 g/cm3. As for the total energy: -4.74 eV per atom. The calculation puts the calculated volume at 34.7 Å³ per atom. Its crystal system is tetragonal. The value obtained for the offset from the most stable computed form is 0 meV per atom. Its space group is P4/mmm (123).



Record 2
A geometry-optimized BaNbSb2I structure. Source: Alexandria, functional GGA-PBE.

Unit cell a=6.265 b=6.265 c=6.337 alpha=90.00 beta=90.00 gamma=90.00
Fractional positions:
Ba  0.000  0.000  0.000
Nb  0.500  0.500  0.500
Sb  0.000  0.500  0.000
Sb  0.500  0.000  0.000
I  0.000  0.000  0.500

## Properties
The density of states at the Fermi level comes out at 9.519 states/eV per cell. The mass density is 4.01 g/cm3. As for the total energy: -3.08 eV per atom. The calculation puts the calculated volume at 49.8 Å³ per atom. Its crystal system is tetragonal. The value obtained for the offset from the most stable computed form is 1652 meV per atom. Its space group is P4/mmm (123).



Record 3
A geometry-optimized Ba2NbTcI structure. Source: Alexandria, functional GGA-PBE.

Unit cell a=6.564 b=6.564 c=4.567 alpha=90.00 beta=90.00 gamma=90.00
Fractional positions:
Ba  0.000  0.500  0.000
Ba  0.500  0.000  0.000
Nb  0.000  0.000  0.000
Tc  0.000  0.000  0.500
I  0.500  0.500  0.500

## Properties
The density of states at the Fermi level comes out at 6.222 states/eV per cell. The mass density is 5.00 g/cm3. As for the total energy: -4.78 eV per atom. The calculation puts the calculated volume at 39.4 Å³ per atom. Its crystal system is tetragonal. Its space group is P4/mmm (123).



Record 4
A geometry-optimized BaNbTe2I structure. Source: Alexandria, functional GGA-PBE.

Unit cell a=6.511 b=6.511 c=6.383 alpha=90.00 beta=90.00 gamma=90.00
Fractional positions:
Ba  0.000  0.000  0.000
Nb  0.500  0.500  0.500
Te  0.000  0.500  0.000
Te  0.500  0.000  0.000
I  0.000  0.000  0.500

## Properties
The density of states at the Fermi level comes out at 10.967 states/eV per cell. The mass density is 3.76 g/cm3. As for the total energy: -3.18 eV per atom. The calculation puts the calculated volume at 54.1 Å³ per atom. Its crystal system is tetragonal. The value obtained for the offset from the most stable computed form is 1438 meV per atom. Its space group is P4/mmm (123).



Record 5
A geometry-optimized BaNbTeI2 structure. Source: Alexandria, functional GGA-PBE.

Unit cell a=5.758 b=5.758 c=5.657 alpha=90.00 beta=90.00 gamma=90.00
Fractional positions:
Ba  0.000  0.000  0.000
Nb  0.500  0.500  0.500
Te  0.500  0.500  0.000
I  0.000  0.500  0.500
I  0.500  0.000  0.500

## Properties
The density of states at the Fermi level comes out at 3.005 states/eV per cell. The mass density is 5.42 g/cm3. As for the total energy: -4.24 eV per atom. The calculation puts the calculated volume at 37.5 Å³ per atom. Its crystal system is tetragonal. The value obtained for the offset from the most stable computed form is 0 meV per atom. Its space group is P4/mmm (123).



Record 6
A geometry-optimized BaNbTe2I structure. Source: Alexandria, functional GGA-PBE.

Unit cell a=5.544 b=5.544 c=5.802 alpha=90.00 beta=90.00 gamma=90.00
Fractional positions:
Ba  0.000  0.000  0.000
Nb  0.500  0.500  0.500
Te  0.000  0.500  0.500
Te  0.500  0.000  0.500
I  0.500  0.500  0.000

## Properties
The density of states at the Fermi level comes out at 3.266 states/eV per cell. The mass density is 5.70 g/cm3. As for the total energy: -4.62 eV per atom. The calculation puts the calculated volume at 35.7 Å³ per atom. Its crystal system is tetragonal. The value obtained for the offset from the most stable computed form is 0 meV per atom. Its space group is P4/mmm (123).



Record 7
A geometry-optimized BaNbTeI2 structure. Source: Alexandria, functional GGA-PBE.

Unit cell a=6.481 b=6.481 c=6.766 alpha=90.00 beta=90.00 gamma=90.00
Fractional positions:
Ba  0.000  0.000  0.000
Nb  0.500  0.500  0.500
Te  0.000  0.000  0.500
I  0.000  0.500  0.000
I  0.500  0.000  0.000

## Properties
The density of states at the Fermi level comes out at 5.198 states/eV per cell. The mass density is 3.57 g/cm3. As for the total energy: -3.18 eV per atom. The calculation puts the calculated volume at 56.8 Å³ per atom. Its crystal system is tetragonal. The value obtained for the offset from the most stable computed form is 1058 meV per atom. Its space group is P4/mmm (123).



Record 8
A geometry-optimized BaNbTl2I structure. Source: Alexandria, functional GGA-PBE.

Unit cell a=6.247 b=6.247 c=6.425 alpha=90.00 beta=90.00 gamma=90.00
Fractional positions:
Ba  0.000  0.000  0.000
Nb  0.500  0.500  0.000
Tl  0.000  0.500  0.500
Tl  0.500  0.000  0.500
I  0.000  0.000  0.500

## Properties
The density of states at the Fermi level comes out at 5.585 states/eV per cell. The mass density is 5.07 g/cm3. As for the total energy: -2.78 eV per atom. The calculation puts the calculated volume at 50.1 Å³ per atom. Its crystal system is tetragonal. Its space group is P4/mmm (123).